## P
A relaxed Mn4Ni5 crystal, computed with PBE.

a b c (Å): 7.0608 7.0608 4.9507
angles (deg): 90.00 90.00 120.00
Element x y z (fractional)
Mn 0.0000 0.0000 0.0000
Mn 0.0000 0.0000 0.5000
Mn 0.0000 0.3402 0.2500
Mn 0.0000 0.6599 0.7500
Mn 0.3402 0.0000 0.2500
Mn 0.3402 0.3402 0.7500
Mn 0.6599 0.0000 0.7500
Mn 0.6599 0.6599 0.2500
Ni 0.0000 0.3284 0.7500
Ni 0.0000 0.6716 0.2500
Ni 0.3284 0.0000 0.7500
Ni 0.3284 0.3284 0.2500
Ni 0.3333 0.6667 0.0000
Ni 0.3333 0.6667 0.5000
Ni 0.6667 0.3333 0.0000
Ni 0.6667 0.3333 0.5000
Ni 0.6716 0.0000 0.2500
Ni 0.6716 0.6716 0.7500

=====

## Q
A relaxed Mn4Ni5 crystal, computed with PBE.

a b c (Å): 5.6807 5.6807 5.6807
angles (deg): 95.97 95.97 142.38
Element x y z (fractional)
Mn 0.0000 0.3226 0.3226
Mn 0.0000 0.6774 0.6774
Mn 0.3226 0.0000 0.3226
Mn 0.6774 0.0000 0.6774
Ni 0.0000 0.0000 0.0000
Ni 0.3348 0.3348 0.6695
Ni 0.3348 0.6652 0.0000
Ni 0.6652 0.3348 0.0000
Ni 0.6652 0.6652 0.3305

=====

The calculated energies rank the structures as follows, beginning with the most stable: Q, P.